Entry 1:
Here is a relaxed PaCuIrRh crystal from the Alexandria database. Energies are from GGA-PBE.

Energy of formation from the pure elements   -45.2 kJ per mole of atoms
Polymorph energy (0 for the lowest one)   21.1 kJ/mol of atoms
V   17.31 Å³ per atom

Cell: 4.6095 4.6095 4.6095 Å, 60.00 60.00 60.00°
With the nearest neighbours (Å) after each atom.
Sites, in units of the cell vectors:
Pa 0.5000 0.5000 0.5000  4 Rh 2.82, 4 Ir 2.82
Rh 0.2500 0.2500 0.2500  4 Pa 2.82, 4 Cu 2.82
Cu 0.0000 0.0000 0.0000  4 Ir 2.82, 4 Rh 2.82
Ir 0.7500 0.7500 0.7500  4 Cu 2.82, 4 Pa 2.82



Entry 2:
Here is a relaxed PaCuIrRh crystal from the Alexandria database. Energies are from GGA-PBE.

Energy of formation from the pure elements   -66.3 kJ per mole of atoms
Polymorph energy (0 for the lowest one)   0.0 kJ/mol of atoms
V   16.67 Å³ per atom

Cell: 3.8179 4.1741 4.1834 Å, 90.00 90.00 90.00°
With the nearest neighbours (Å) after each atom.
Sites, in units of the cell vectors:
Pa 0.0000 0.5000 0.5000  4 Ir 2.83, 4 Rh 2.83, 4 Cu 2.95
Cu 0.0000 0.0000 0.0000  4 Rh 2.83, 4 Ir 2.83, 4 Pa 2.95
Ir 0.5000 0.0000 0.5000  4 Pa 2.83, 4 Cu 2.83, 4 Rh 2.95
Rh 0.5000 0.5000 0.0000  4 Cu 2.83, 4 Pa 2.83, 4 Ir 2.95



Entry 3:
Here is a relaxed PaCuIrRu crystal from the Alexandria database. Energies are from GGA-PBE.

Energy of formation from the pure elements   -53.1 kJ per mole of atoms
Polymorph energy (0 for the lowest one)   0.0 kJ/mol of atoms
V   16.44 Å³ per atom

Cell: 3.8098 4.0748 4.2364 Å, 90.00 90.00 90.00°
With the nearest neighbours (Å) after each atom.
Sites, in units of the cell vectors:
Pa 0.5000 0.5000 0.0000  4 Ru 2.79, 4 Ir 2.85, 4 Cu 2.94
Cu 0.5000 0.0000 0.5000  4 Ir 2.79, 4 Ru 2.85, 4 Pa 2.94
Ir 0.0000 0.5000 0.5000  4 Cu 2.79, 4 Pa 2.85, 4 Ru 2.94
Ru 0.0000 0.0000 0.0000  4 Pa 2.79, 4 Cu 2.85, 4 Ir 2.94



Entry 4:
Here is a relaxed PaCuIrRu crystal from the Alexandria database. Energies are from GGA-PBE.

Energy of formation from the pure elements   -29.6 kJ per mole of atoms
Polymorph energy (0 for the lowest one)   23.5 kJ/mol of atoms
V   17.04 Å³ per atom

Cell: 4.5849 4.5849 4.5849 Å, 60.00 60.00 60.00°
With the nearest neighbours (Å) after each atom.
Sites, in units of the cell vectors:
Ru 0.0000 0.0000 0.0000  4 Cu 2.81, 4 Pa 2.81
Pa 0.2500 0.2500 0.2500  4 Ru 2.81, 4 Ir 2.81
Cu 0.7500 0.7500 0.7500  4 Ru 2.81, 4 Ir 2.81
Ir 0.5000 0.5000 0.5000  4 Pa 2.81, 4 Cu 2.81